1.
## RbAl2F6 (PBE)

Data for crystalline RbAl2F6 at its relaxed geometry.

Calculated values
Crystal system: trigonal
Formation energy (no corrections) (eV/atom): -3.055
Electronic total energy (eV per atom): -5.24

Unit cell a=7.9826 b=4.9986 c=4.9986 alpha=120.00 beta=90.00 gamma=90.00
With the nearest neighbours (Å) after each atom.
Atoms (fractional coordinates):
Rb  0.0000  0.0000  0.0000  6 F 3.54
Al  0.5000  0.6667  0.3333  6 F 1.86
Al  0.5000  0.3333  0.6667  6 F 1.86
F  0.6250  0.6222  0.6222  2 Al 1.86
F  0.3750  0.6222  0.0000  2 Al 1.86
F  0.3750  0.0000  0.6222  2 Al 1.86
F  0.6250  0.3778  0.0000  2 Al 1.86
F  0.3750  0.3778  0.3778  2 Al 1.86
F  0.6250  0.0000  0.3778  2 Al 1.86

=====

2.
## TaPOs (PBE)

Data for crystalline TaPOs at its relaxed geometry.

Calculated values
Crystal system: orthorhombic
Formation energy from the elements (meV/atom): -50
Electronic total energy (eV per atom): -9.55

Unit cell a=4.5393 b=4.5393 c=4.5393 alpha=141.80 beta=126.02 gamma=68.04
With the nearest neighbours (Å) after each atom.
Atoms (fractional coordinates):
Ta  0.3385  0.3385  0.0000  1 P 2.49, 5 Os 2.61-2.79
P  0.6697  0.6697  0.0000  1 Os 2.42, 1 Ta 2.49
Os  0.9918  0.9918  0.0000  1 P 2.42, 1 Ta 2.61

=====

3.
## PtPb2Br (PBE)

Data for crystalline PtPb2Br at its relaxed geometry.

Calculated values
Crystal system: tetragonal
Relative energy among the computed polymorphs (meV per atom): 188.9
Formation energy (no corrections) (eV/atom): -0.195
Electronic total energy (eV per atom): -3.98

Unit cell a=3.9360 b=3.9341 c=8.2900 alpha=90.00 beta=90.00 gamma=90.00
With the nearest neighbours (Å) after each atom.
Atoms (fractional coordinates):
Pb  0.0000  0.0000  0.9886  1 Pt 2.67
Pb  0.5000  0.5000  0.3904  4 Pt 2.86
Br  0.5000  0.5000  0.8099  5 Pb 3.15-3.48
Pt  0.0000  0.0000  0.3110  5 Pb 2.67-2.86

=====

4.
## Cs2TiHgF6 (PBE)

Data for crystalline Cs2TiHgF6 at its relaxed geometry.

Calculated values
Crystal system: cubic
Relative energy among the computed polymorphs (meV per atom): 31.7
Formation energy (no corrections) (eV/atom): -2.888
Electronic total energy (eV per atom): -5.00

Unit cell a=6.9458 b=6.9458 c=6.9458 alpha=60.00 beta=60.00 gamma=90.00
With the nearest neighbours (Å) after each atom.
Atoms (fractional coordinates):
Cs  0.7500  0.2500  0.5000  12 F 3.52
Cs  0.2500  0.7500  0.5000  12 F 3.52
F  0.3071  0.3071  0.3858  1 Ti 1.89
F  0.6929  0.6929  0.6142  1 Ti 1.89
F  0.3071  0.3071  0.0000  1 Ti 1.89
F  0.6929  0.6929  0.0000  1 Ti 1.89
F  0.6929  0.3071  0.0000  1 Ti 1.89
F  0.3071  0.6929  0.0000  1 Ti 1.89
Hg  0.0000  0.0000  0.0000  6 F 3.02
Ti  0.5000  0.5000  0.0000  6 F 1.89

=====

5.
## Ce12Os6Pd (PBE)

Data for crystalline Ce12Os6Pd at its relaxed geometry.

Calculated values
Crystal system: trigonal
Formation energy from the elements (meV/atom): -99
Electronic total energy (eV per atom): -7.67

Unit cell a=8.1920 b=8.1920 c=8.1920 alpha=99.79 beta=99.79 gamma=99.79
With the nearest neighbours (Å) after each atom.
Atoms (fractional coordinates):
Ce  0.8182  0.5841  0.4302  3 Os 2.73-2.94
Ce  0.4302  0.8182  0.5841  3 Os 2.73-2.94
Ce  0.5841  0.4302  0.8182  3 Os 2.73-2.94
Ce  0.1818  0.4159  0.5698  3 Os 2.73-2.94
Ce  0.5698  0.1818  0.4159  3 Os 2.73-2.94
Ce  0.4159  0.5698  0.1818  3 Os 2.73-2.94
Ce  0.0818  0.9359  0.3322  2 Os 2.72-2.75, 1 Pd 2.85
Ce  0.0641  0.6678  0.9182  2 Os 2.72-2.75, 1 Pd 2.85
Ce  0.6678  0.9182  0.0641  2 Os 2.72-2.75, 1 Pd 2.85
Ce  0.9182  0.0641  0.6678  2 Os 2.72-2.75, 1 Pd 2.85
Ce  0.9359  0.3322  0.0818  2 Os 2.72-2.75, 1 Pd 2.85
Ce  0.3322  0.0818  0.9359  2 Os 2.72-2.75, 1 Pd 2.85
Os  0.6962  0.8668  0.3864  5 Ce 2.72-2.94
Os  0.6136  0.3038  0.1332  5 Ce 2.72-2.94
Os  0.1332  0.6136  0.3038  5 Ce 2.72-2.94
Os  0.3038  0.1332  0.6136  5 Ce 2.72-2.94
Os  0.3864  0.6962  0.8668  5 Ce 2.72-2.94
Os  0.8668  0.3864  0.6962  5 Ce 2.72-2.94
Pd  0.0000  0.0000  0.0000  6 Ce 2.85

=====

6.
## NdBi3Rh (PBE)

Data for crystalline NdBi3Rh at its relaxed geometry.

Calculated values
Crystal system: orthorhombic
Relative energy among the computed polymorphs (meV per atom): 0.0
Formation energy from the elements (meV/atom): -491
Electronic total energy (eV per atom): -5.24

Unit cell a=6.3243 b=6.5582 c=13.0844 alpha=90.00 beta=90.00 gamma=90.00
With the nearest neighbours (Å) after each atom.
Atoms (fractional coordinates):
Nd  0.7500  0.5043  0.6973  9 Bi 3.29-3.47, 2 Rh 3.45
Nd  0.2500  0.4957  0.3027  9 Bi 3.29-3.47, 2 Rh 3.45
Nd  0.7500  0.0043  0.3027  9 Bi 3.29-3.47, 2 Rh 3.45
Nd  0.2500  0.9957  0.6973  9 Bi 3.29-3.47, 2 Rh 3.45
Bi  0.0000  0.2500  0.4987  4 Bi 3.16-3.28, 4 Nd 3.42-3.47
Bi  0.5000  0.7500  0.5013  4 Bi 3.16-3.28, 4 Nd 3.42-3.47
Bi  0.0000  0.7500  0.5013  4 Bi 3.16-3.28, 4 Nd 3.42-3.47
Bi  0.5000  0.2500  0.4987  4 Bi 3.16-3.28, 4 Nd 3.42-3.47
Bi  0.2500  0.1026  0.9426  4 Rh 2.80-2.86
Bi  0.7500  0.8974  0.0574  4 Rh 2.80-2.86
Bi  0.2500  0.6026  0.0574  4 Rh 2.80-2.86
Bi  0.7500  0.3974  0.9426  4 Rh 2.80-2.86
Bi  0.2500  0.4973  0.7675  2 Rh 2.85
Bi  0.7500  0.5027  0.2325  2 Rh 2.85
Bi  0.2500  0.9973  0.2325  2 Rh 2.85
Bi  0.7500  0.0027  0.7675  2 Rh 2.85
Rh  0.5000  0.2500  0.1032  6 Bi 2.80-2.86
Rh  0.0000  0.7500  0.8968  6 Bi 2.80-2.86
Rh  0.5000  0.7500  0.8968  6 Bi 2.80-2.86
Rh  0.0000  0.2500  0.1032  6 Bi 2.80-2.86

=====

7.
## CrSbPb2 (PBE)

Data for crystalline CrSbPb2 at its relaxed geometry.

Calculated values
Crystal system: tetragonal
Formation energy (no corrections) (eV/atom): 0.375
Electronic total energy (eV per atom): -4.92

Unit cell a=6.1384 b=6.1384 c=6.1384 alpha=136.88 beta=136.88 gamma=62.62
With the nearest neighbours (Å) after each atom.
Atoms (fractional coordinates):
Cr  0.7500  0.2500  0.5000  4 Sb 3.19, 8 Pb 3.46
Pb  0.0000  0.0000  0.0000  4 Pb 3.19, 4 Cr 3.46, 4 Sb 3.46
Pb  0.5000  0.5000  0.0000  4 Pb 3.19, 4 Cr 3.46, 4 Sb 3.46
Sb  0.2500  0.7500  0.5000  4 Cr 3.19, 8 Pb 3.46

=====

8.
## LiV3Se (PBE)

Data for crystalline LiV3Se at its relaxed geometry.

Calculated values
Crystal system: cubic
Relative energy among the computed polymorphs (meV per atom): 0.0
Formation energy (no corrections) (eV/atom): 0.706
Electronic total energy (eV per atom): -5.85

Unit cell a=4.5758 b=4.5758 c=4.5758 alpha=90.00 beta=90.00 gamma=90.00
With the nearest neighbours (Å) after each atom.
Atoms (fractional coordinates):
V  0.0000  0.5000  0.0000  2 Se 2.29
V  0.0000  0.0000  0.5000  2 Se 2.29
V  0.5000  0.0000  0.0000  2 Se 2.29
Se  0.0000  0.0000  0.0000  6 V 2.29
Li  0.5000  0.5000  0.5000  12 V 3.24